Entry 1:
Li2CaZn, single point on PBEsol structure, DFT SCAN; formation enthalpy at 0 K = -0.08 eV per atom; crystal system = orthorhombic
1.0
3.692 0.000 0.000
0.000 4.969 0.000
0.000 0.000 9.551
Li Ca Zn
4 2 2
direct
0.000 0.000 0.215
0.000 0.000 0.785
0.500 0.500 0.285
0.500 0.500 0.715
0.000 0.500 0.000
0.500 0.000 0.500
0.000 0.500 0.500
0.500 0.000 0.000

Entry 2:
Li4MgNi3O8, single point on PBEsol structure, DFT SCAN; energy relative to the elements, uncorrected = -29.522 eV per formula unit; crystal system = monoclinic
1.0
4.968 -2.858 0.000
4.968 2.858 0.000
-3.347 0.000 9.331
Li Mg Ni O
8 2 6 16
direct
0.000 0.500 0.000
0.000 0.500 0.500
0.237 0.260 0.253
0.260 0.237 0.753
0.500 0.000 0.000
0.500 0.000 0.500
0.740 0.763 0.247
0.763 0.740 0.747
0.247 0.753 0.250
0.753 0.247 0.750
0.000 0.000 0.000
0.000 0.000 0.500
0.254 0.746 0.750
0.500 0.500 0.000
0.500 0.500 0.500
0.746 0.254 0.250
0.090 0.127 0.374
0.127 0.090 0.874
0.139 0.642 0.390
0.150 0.609 0.880
0.358 0.861 0.110
0.379 0.401 0.624
0.391 0.850 0.620
0.401 0.379 0.124
0.599 0.621 0.876
0.609 0.150 0.380
0.621 0.599 0.376
0.642 0.139 0.890
0.850 0.391 0.120
0.861 0.358 0.610
0.873 0.910 0.126
0.910 0.873 0.626

Entry 3:
TiZn3S, single point on PBEsol structure, DFT SCAN; energy relative to the elements, uncorrected = 3.330 eV per formula unit; crystal system = cubic
1.0
4.550 0.000 0.000
0.000 4.550 0.000
0.000 0.000 4.550
Ti Zn S
1 3 1
direct
0.000 0.000 0.000
0.000 0.500 0.500
0.500 0.000 0.500
0.500 0.500 0.000
0.500 0.500 0.500

Entry 4:
BeCd2Pt, single point on PBEsol structure, DFT SCAN; formation enthalpy at 0 K = -0.11 eV per atom; crystal system = tetragonal
1.0
3.860 0.000 0.000
0.000 3.860 0.000
0.000 0.000 8.370
Be Cd Pt
2 4 2
direct
0.000 0.000 0.000
0.500 0.500 0.500
0.000 0.500 0.250
0.000 0.500 0.750
0.500 0.000 0.250
0.500 0.000 0.750
0.000 0.000 0.500
0.500 0.500 0.000

Entry 5:
SrCa3, single point on PBEsol structure, DFT SCAN; formation enthalpy at 0 K = 0.01 eV per atom; crystal system = monoclinic
1.0
3.806 0.000 0.000
0.000 6.329 0.000
-0.995 0.000 7.082
Sr Ca
1 3
direct
0.000 0.000 0.000
0.260 0.500 0.744
0.500 0.000 0.500
0.740 0.500 0.256

Entry 6:
Sc2MnAl, single point on PBEsol structure, DFT SCAN; formation enthalpy at 0 K = -0.29 eV per atom; crystal system = tetragonal
1.0
4.395 0.000 0.000
0.000 4.395 0.000
0.000 0.000 7.432
Sc Mn Al
4 2 2
direct
0.000 0.500 0.250
0.000 0.500 0.750
0.500 0.000 0.250
0.500 0.000 0.750
0.000 0.000 0.000
0.500 0.500 0.500
0.000 0.000 0.500
0.500 0.500 0.000

Entry 7:
ZrTlRu, single point on PBEsol structure, DFT SCAN; formation enthalpy at 0 K = -0.16 eV per atom; crystal system = tetragonal
1.0
3.206 0.000 0.000
0.000 3.206 0.000
0.000 0.000 11.012
Zr Tl Ru
2 2 2
direct
0.000 0.000 0.000
0.500 0.500 0.500
0.000 0.000 0.701
0.500 0.500 0.201
0.000 0.000 0.363
0.500 0.500 0.863

Entry 8:
Rb2Zn3GeAs4, single point on PBEsol structure, DFT SCAN; formation enthalpy at 0 K = -0.38 eV per atom; crystal system = orthorhombic
1.0
2.878 -7.267 0.000
2.878 7.267 0.000
0.000 0.000 5.746
Rb Zn Ge As
2 3 1 4
direct
0.000 0.500 0.249
0.500 0.000 0.751
0.000 0.000 0.000
0.500 0.500 0.000
0.500 0.500 0.500
0.000 0.000 0.500
0.138 0.349 0.743
0.349 0.138 0.257
0.651 0.862 0.257
0.862 0.651 0.743

| no. | energy (eV/atom) |
| --- | --- |
| 1 | -7.07 |
| 2 | -8.90 |
| 3 | -12.57 |
| 4 | -33.95 |
| 5 | -12.80 |
| 6 | -13.91 |
| 7 | -46.12 |
| 8 | -18.57 |